<a>
Here is CsB after structural relaxation from the Alexandria database. Energies are from PBE-GGA.

For the total magnetization, the calculation gives 2.0 μB per formula unit.

It has space group Pm-3n (No. 223), with a = 9.378 Å, b = 9.378 Å, c = 9.378 Å, α = 90.00°, β = 90.00° and γ = 90.00°. The inequivalent atoms are Cs at (0.000, 0.250, 0.500) and B at (0.000, 0.500, 0.250).

<b>
Here is CsB after structural relaxation from the Alexandria database. Energies are from PBE-GGA.

For the total magnetization, the calculation gives 1.3 μB per formula unit.

It has space group I-43m (No. 217), with a = 9.534 Å, b = 9.534 Å, c = 9.534 Å, α = 90.00°, β = 90.00° and γ = 90.00°. The inequivalent atoms are Cs at (0.217, 0.217, 0.783) and B at (0.063, 0.063, 0.063).

<c>
Here is CsB after structural relaxation from the Alexandria database. Energies are from PBE-GGA.

For the total magnetization, the calculation gives 0.2 μB per formula unit.

It has space group P4/m (No. 83), with a = 11.541 Å, b = 11.541 Å, c = 5.752 Å, α = 90.00°, β = 90.00° and γ = 90.00°. The inequivalent atoms are Cs at (0.100, 0.663, 0.000), Cs at (0.260, 0.392, 0.500), B at (0.026, 0.562, 0.500) and B at (0.408, 0.541, 0.000).

<d>
Here is CsB after structural relaxation from the Alexandria database. Energies are from PBE-GGA.

For the total magnetization, the calculation gives 2.0 μB per formula unit.

It has space group F-43m (No. 216), with a = 7.751 Å, b = 7.751 Å, c = 7.751 Å, α = 90.00°, β = 90.00° and γ = 90.00°. The inequivalent atoms are Cs at (0.000, 0.000, 0.000) and B at (0.250, 0.250, 0.250).

Result of the stability comparison: <c> is the most stable of them.